# 1
Material: CeTh3As6
Method: DFT, GGA-PBE
State: optimized geometry

Cell: 10.096 10.096 10.096 Å, 34.64 34.64 34.64°
Positions (direct):
Ce1 0.000 0.000 0.000
Th1 0.235 0.235 0.235
Th2 0.500 0.500 0.500
Th3 0.765 0.765 0.765
As1 0.245 0.753 0.753
As2 0.247 0.247 0.755
As3 0.247 0.755 0.247
As4 0.753 0.245 0.753
As5 0.753 0.753 0.245
As6 0.755 0.247 0.247

electronic total energy = -6.18 eV per atom
space-group type = R-3m (166)
formation energy from the elements = -0.571 eV/atom



# 2
Material: PuTlAu2
Method: DFT, GGA-PBE
State: optimized geometry

Cell: 7.081 7.081 7.462 Å, 90.00 90.00 148.45°
Positions (direct):
Pu1 0.036 0.964 0.750
Pu2 0.964 0.036 0.250
Tl1 0.244 0.756 0.250
Tl2 0.756 0.244 0.750
Au1 0.391 0.609 0.550
Au2 0.391 0.609 0.950
Au3 0.609 0.391 0.050
Au4 0.609 0.391 0.450

electronic total energy = -6.09 eV per atom
space-group type = Cmcm (63)
formation energy from the elements = -0.272 eV/atom



# 3
Material: MnTl2Se
Method: DFT, GGA-PBE
State: optimized geometry

Cell: 7.960 7.960 7.960 Å, 28.62 28.62 28.62°
Positions (direct):
Mn1 0.000 0.000 0.000
Tl1 0.250 0.250 0.250
Tl2 0.749 0.749 0.749
Se1 0.500 0.500 0.500

electronic total energy = -4.08 eV per atom
raw formation energy = 270 meV per atom
ΔE to the lowest computed polymorph = 325 meV per atom
space-group type = R-3m (166)



# 4
Material: Er3Tm6Th2Sc
Method: DFT, GGA-PBE
State: optimized geometry

Cell: 6.038 6.038 11.589 Å, 95.00 95.00 119.99°
Positions (direct):
Er1 0.000 0.000 0.000
Er2 0.334 0.666 0.000
Er3 0.666 0.334 0.000
Tm1 0.085 0.417 0.252
Tm2 0.249 0.249 0.748
Tm3 0.417 0.085 0.252
Tm4 0.583 0.915 0.748
Tm5 0.751 0.751 0.252
Tm6 0.915 0.583 0.748
Th1 0.167 0.833 0.500
Th2 0.833 0.167 0.500
Sc1 0.500 0.500 0.500

electronic total energy = -5.12 eV per atom
space-group type = C2/m (12)
formation energy from the elements = 0.025 eV/atom



# 5
Material: SrPb3
Method: DFT, GGA-PBE
State: optimized geometry

Cell: 6.260 6.260 6.260 Å, 133.06 133.06 68.57°
Positions (direct):
Sr1 0.000 0.000 0.000
Pb1 0.250 0.750 0.500
Pb2 0.500 0.500 0.000
Pb3 0.750 0.250 0.500

electronic total energy = -3.51 eV per atom
space-group type = I4/mmm (139)
formation energy from the elements = -0.306 eV/atom



# 6
Material: Ca4BiAu
Method: DFT, GGA-PBE
State: optimized geometry

Cell: 8.566 8.566 6.774 Å, 107.12 107.12 109.94°
Positions (direct):
Ca1 0.055 0.710 0.912
Ca2 0.226 0.354 0.707
Ca3 0.290 0.945 0.588
Ca4 0.354 0.226 0.207
Ca5 0.646 0.774 0.793
Ca6 0.710 0.055 0.412
Ca7 0.774 0.646 0.293
Ca8 0.945 0.290 0.088
Bi1 0.364 0.636 0.250
Bi2 0.636 0.364 0.750
Au1 0.003 0.997 0.750
Au2 0.997 0.003 0.250

electronic total energy = -3.14 eV per atom
ΔE to the lowest computed polymorph = 18 meV per atom
space-group type = C2/c (15)
formation energy from the elements = -0.611 eV/atom



# 7
Material: BaIr2Rh
Method: DFT, GGA-PBE
State: optimized geometry

Cell: 2.914 3.662 7.547 Å, 90.00 90.00 90.00°
Positions (direct):
Ba1 0.000 0.000 0.000
Ir1 0.500 0.500 0.324
Ir2 0.500 0.500 0.676
Rh1 0.000 0.000 0.500

electronic total energy = -6.31 eV per atom
ΔE to the lowest computed polymorph = 468 meV per atom
space-group type = Pmmm (47)
formation energy from the elements = 0.435 eV/atom



# 8
Material: Tm8ZnRu2
Method: DFT, GGA-PBE
State: optimized geometry

Cell: 8.972 8.972 6.863 Å, 107.40 107.40 31.30°
Positions (direct):
Tm1 0.035 0.035 0.279
Tm2 0.201 0.201 0.815
Tm3 0.327 0.327 0.536
Tm4 0.403 0.403 0.031
Tm5 0.597 0.597 0.969
Tm6 0.673 0.673 0.464
Tm7 0.799 0.799 0.185
Tm8 0.965 0.965 0.721
Zn1 0.500 0.500 0.500
Ru1 0.186 0.186 0.201
Ru2 0.814 0.814 0.799

electronic total energy = -5.33 eV per atom
ΔE to the lowest computed polymorph = 0 meV per atom
space-group type = C2/m (12)
formation energy from the elements = -0.272 eV/atom



# 9
Material: Ca2CdGa4Ir3
Method: DFT, GGA-PBE
State: optimized geometry

Cell: 4.202 4.202 10.990 Å, 90.00 90.00 90.00°
Positions (direct):
Ca1 0.000 0.500 0.236
Ca2 0.500 0.000 0.764
Cd1 0.000 0.000 0.500
Ga1 0.000 0.000 0.000
Ga2 0.000 0.500 0.645
Ga3 0.500 0.000 0.355
Ga4 0.500 0.500 0.000
Ir1 0.000 0.500 0.870
Ir2 0.500 0.000 0.130
Ir3 0.500 0.500 0.500

electronic total energy = -4.84 eV per atom
space-group type = P-4m2 (115)
formation energy from the elements = -0.476 eV/atom



# 10
Material: Ir2PtAu
Method: DFT, GGA-PBE
State: optimized geometry

Cell: 2.799 3.870 5.806 Å, 90.00 90.00 90.00°
Positions (direct):
Ir1 0.000 0.000 0.000
Ir2 0.500 0.500 0.211
Pt1 0.000 0.000 0.464
Au1 0.500 0.500 0.726

electronic total energy = -6.56 eV per atom
ΔE to the lowest computed polymorph = 91 meV per atom
space-group type = Pmm2 (25)
formation energy from the elements = 0.201 eV/atom



# 11
Material: ZrTaAu
Method: DFT, GGA-PBE
State: optimized geometry

Cell: 4.875 4.875 2.848 Å, 90.00 90.00 120.00°
Positions (direct):
Zr1 0.000 0.000 0.000
Ta1 0.667 0.333 0.500
Au1 0.333 0.667 0.500

electronic total energy = -7.83 eV per atom
ΔE to the lowest computed polymorph = 376 meV per atom
space-group type = P-6m2 (187)
formation energy from the elements = 0.065 eV/atom



# 12
Material: Er3ScSi2
Method: DFT, GGA-PBE
State: optimized geometry

Cell: 8.299 8.299 8.299 Å, 150.63 150.04 42.45°
Positions (direct):
Er1 0.000 0.000 0.000
Er2 0.179 0.679 0.500
Er3 0.821 0.321 0.500
Sc1 0.500 0.500 0.000
Si1 0.367 0.867 0.500
Si2 0.633 0.133 0.500

electronic total energy = -5.72 eV per atom
raw formation energy = -579 meV per atom
space-group type = Immm (71)



Number 1: total moment 0.06 μB per atom. Number 2: total moment 1.41 μB per atom. Number 3: total moment 1.11 μB per atom. Number 4: total moment 0.00 μB per atom. Number 5: total moment 0.00 μB per atom. Number 6: total moment 0.00 μB per atom. Number 7: total moment 0.00 μB per atom. Number 8: total moment 0.00 μB per atom. Number 9: total moment 0.00 μB per atom. Number 10: total moment 0.00 μB per atom. Number 11: total moment 0.00 μB per atom. Number 12: total moment 0.00 μB per atom.